Record 1
{
  "formula": "TmZnGaRu",
  "functional": "PBE",
  "state": "relaxed",
  "lattice_angstrom": [[-2.683, -1.874, 2.823], [-1.707, -3.870, -0.884], [2.096, -3.949, 2.678]],
  "species": ["Tm", "Zn", "Ga", "Ru"],
  "fractional_positions": [[0.819, 0.819, 0.543], [0.037, 0.037, 0.890], [0.600, 0.600, 0.200], [0.270, 0.270, 0.190]],
  "spacegroup": "R3m, No. 160",
  "vol_a3_per_cell": 74,
  "m_tot_mub_per_fu": 0.0,
  "e_tot_ev_per_atom": -4.848,
  "polymorph_energy_ev_per_atom": 0.0000
}

---

Record 2
{
  "formula": "TmZnGaRu",
  "functional": "PBE",
  "state": "relaxed",
  "lattice_angstrom": [[-4.295, 1.088, 1.117], [-3.366, -0.574, -3.036], [-3.103, -3.295, 0.625]],
  "species": ["Ru", "Zn", "Tm", "Ga"],
  "fractional_positions": [[0.750, 0.750, 0.750], [0.500, 0.500, 0.500], [0.250, 0.250, 0.250], [0.000, 0.000, 0.000]],
  "spacegroup": "F-43m, No. 216",
  "vol_a3_per_cell": 67,
  "m_tot_mub_per_fu": 0.0,
  "e_tot_ev_per_atom": -4.829,
  "polymorph_energy_ev_per_atom": 0.0191
}

---

- Number 2 is which compound?
  TmZnGaRu